No. 1
Compound: UGe2Bi
Source: Alexandria
Functional: PBE
Structure: optimized geometry

Formation energy, eV/atom: 0.6441
Volume, A^3/atom: 30.7
Calculated density, g/cm³: 8.02

a = 4.028 Å, b = 4.028 Å, c = 9.032 Å
α = 77.12°, β = 77.12°, γ = 60.00°
Fractional positions:
Ge1 0.107 0.107 0.679
Ge2 0.893 0.893 0.321
U1 0.500 0.500 0.500
Bi1 0.000 0.000 0.000

No. 2
Compound: UGeBi
Source: Alexandria
Functional: PBE
Structure: optimized geometry

Formation energy, eV/atom: -0.0906
Volume, A^3/atom: 24.9
Calculated density, g/cm³: 11.54

a = 4.149 Å, b = 4.566 Å, c = 8.219 Å
α = 73.87°, β = 90.00°, γ = 90.00°
Fractional positions:
U1 0.250 0.915 0.171
U2 0.750 0.085 0.829
Bi1 0.250 0.253 0.494
Bi2 0.750 0.747 0.506
Ge1 0.250 0.554 0.891
Ge2 0.750 0.446 0.109

No. 3
Compound: UGe2Bi
Source: Alexandria
Functional: PBE
Structure: optimized geometry

Formation energy, eV/atom: -0.0716
Volume, A^3/atom: 22.1
Calculated density, g/cm³: 11.11

a = 4.118 Å, b = 4.636 Å, c = 4.636 Å
α = 90.00°, β = 90.00°, γ = 90.00°
Fractional positions:
Ge1 0.000 0.000 0.500
Ge2 0.000 0.500 0.000
U1 0.500 0.000 0.000
Bi1 0.500 0.500 0.500

No. 4
Compound: UGeBi
Source: Alexandria
Functional: PBE
Structure: optimized geometry

Formation energy, eV/atom: 0.3055
Volume, A^3/atom: 26.9
Calculated density, g/cm³: 10.69

a = 4.042 Å, b = 4.802 Å, c = 4.802 Å
α = 120.00°, β = 90.00°, γ = 90.00°
Fractional positions:
Ge1 0.167 0.000 0.000
U1 0.166 0.333 0.667
Bi1 0.667 0.667 0.333

no.,total magnetization (μB per formula unit)
1,0.00
2,2.70
3,1.49
4,2.52